Record 1
# Ag2RhIBr, relaxed, DFT GGA-PBE
# Mass density, kg/m³: 6411
# Total magnetization, μB/cell: 0.06
# Uncorrected formation energy, eV per formula unit: 2.005
data_Ag2RhIBr
_symmetry_space_group_name_H-M 'P 4/m m m'
_symmetry_Int_Tables_number 123
_symmetry_space_group_name_Hall '-P 4 2'
_cell_length_a 5.451
_cell_length_b 5.451
_cell_length_c 4.580
_cell_angle_alpha 90.00
_cell_angle_beta 90.00
_cell_angle_gamma 90.00
loop_
_atom_site_label
_atom_site_fract_x
_atom_site_fract_y
_atom_site_fract_z
_atom_site_occupancy
Ag1 0.000 0.500 0.000 1
Rh1 0.000 0.000 0.000 1
I1 0.500 0.500 0.500 1
Br1 0.000 0.000 0.500 1

=====

Record 2
# KRbMg14O15, relaxed, DFT GGA-PBE
# Distance to the lowest polymorph of the same formula, meV per atom: 64.5
# Mass density, kg/m³: 3396
# Total magnetization, μB/cell: 0.00
# Uncorrected formation energy, eV per formula unit: -68.519
data_KRbMg14O15
_symmetry_space_group_name_H-M 'P m m 2'
_symmetry_Int_Tables_number 25
_symmetry_space_group_name_Hall 'P 2 -2'
_cell_length_a 4.477
_cell_length_b 8.942
_cell_length_c 8.608
_cell_angle_alpha 90.00
_cell_angle_beta 90.00
_cell_angle_gamma 90.00
loop_
_atom_site_label
_atom_site_fract_x
_atom_site_fract_y
_atom_site_fract_z
_atom_site_occupancy
K1 0.000 0.000 0.000 1
Rb1 0.000 0.500 0.131 1
Mg1 0.000 0.000 0.515 1
Mg2 0.000 0.216 0.260 1
Mg3 0.000 0.262 0.779 1
Mg4 0.000 0.500 0.539 1
Mg5 0.500 0.000 0.266 1
Mg6 0.500 0.000 0.758 1
Mg7 0.500 0.249 0.016 1
Mg8 0.500 0.255 0.516 1
Mg9 0.500 0.500 0.274 1
Mg10 0.500 0.500 0.790 1
O1 0.000 0.000 0.290 1
O2 0.000 0.000 0.733 1
O3 0.000 0.259 0.019 1
O4 0.000 0.271 0.496 1
O5 0.000 0.500 0.762 1
O6 0.500 0.000 0.032 1
O7 0.500 0.000 0.509 1
O8 0.500 0.252 0.764 1
O9 0.500 0.261 0.266 1
O10 0.500 0.500 0.024 1
O11 0.500 0.500 0.505 1

=====

Record 3
# Te2IrI, relaxed, DFT GGA-PBE
# Distance to the lowest polymorph of the same formula, meV per atom: 0.0
# Mass density, kg/m³: 7562
# Total magnetization, μB/cell: 0.00
# Uncorrected formation energy, eV per formula unit: -0.725
data_Te2IrI
_symmetry_space_group_name_H-M 'R -3 m'
_symmetry_Int_Tables_number 166
_symmetry_space_group_name_Hall '-R 3 2"'
_cell_length_a 4.1427
_cell_length_b 4.1427
_cell_length_c 25.4546
_cell_angle_alpha 90.00
_cell_angle_beta 90.00
_cell_angle_gamma 120.00
loop_
_atom_site_label
_atom_site_fract_x
_atom_site_fract_y
_atom_site_fract_z
_atom_site_occupancy
Te1 0.0000 0.0000 0.1178 1
Ir1 0.0000 0.0000 0.5000 1
I1 0.0000 0.0000 0.0000 1

=====

Record 4
# AgHgW2, relaxed, DFT GGA-PBE
# Formation enthalpy at 0 K, kJ/mol of atoms: 69
# Mass density, kg/m³: 16089
# Total magnetization, μB/cell: 0.00
data_AgHgW2
_symmetry_space_group_name_H-M 'P 1 2/m 1'
_symmetry_Int_Tables_number 10
_symmetry_space_group_name_Hall '-P 2y'
_cell_length_a 4.732
_cell_length_b 2.974
_cell_length_c 5.156
_cell_angle_alpha 90.00
_cell_angle_beta 105.92
_cell_angle_gamma 90.00
loop_
_atom_site_label
_atom_site_fract_x
_atom_site_fract_y
_atom_site_fract_z
_atom_site_occupancy
Ag1 0.000 0.000 0.000 1
Hg1 0.500 0.500 0.000 1
W1 0.000 0.500 0.500 1
W2 0.500 0.000 0.500 1

=====

Record 5
# NdDyCd, relaxed, DFT GGA-PBE
# Formation enthalpy at 0 K, kJ/mol of atoms: -21
# Distance to the lowest polymorph of the same formula, meV per atom: 0.0
# Mass density, kg/m³: 7833
# Total magnetization, μB/cell: 0.00
data_NdDyCd
_symmetry_space_group_name_H-M 'C m c m'
_symmetry_Int_Tables_number 63
_symmetry_space_group_name_Hall '-C 2c 2'
_cell_length_a 3.728
_cell_length_b 17.181
_cell_length_c 5.549
_cell_angle_alpha 90.00
_cell_angle_beta 90.00
_cell_angle_gamma 90.00
loop_
_atom_site_label
_atom_site_fract_x
_atom_site_fract_y
_atom_site_fract_z
_atom_site_occupancy
Nd1 0.000 0.087 0.250 1
Dy1 0.000 0.227 0.750 1
Cd1 0.000 0.426 0.250 1

=====

Record 6
# NaSrPdPb, relaxed, DFT GGA-PBE
# Formation enthalpy at 0 K, kJ/mol of atoms: -33
# Mass density, kg/m³: 7038
# Total magnetization, μB/cell: 0.00
data_NaSrPdPb
_symmetry_space_group_name_H-M 'F -4 3 m'
_symmetry_Int_Tables_number 216
_symmetry_space_group_name_Hall 'F -4 2 3'
_cell_length_a 7.370
_cell_length_b 7.370
_cell_length_c 7.370
_cell_angle_alpha 90.00
_cell_angle_beta 90.00
_cell_angle_gamma 90.00
loop_
_atom_site_label
_atom_site_fract_x
_atom_site_fract_y
_atom_site_fract_z
_atom_site_occupancy
Na1 0.000 0.000 0.000 1
Sr1 0.250 0.250 0.750 1
Pd1 0.000 0.000 0.500 1
Pb1 0.250 0.250 0.250 1

=====

Record 7
# LaAs2Se, relaxed, DFT GGA-PBE
# Distance to the lowest polymorph of the same formula, meV per atom: 310.8
# Mass density, kg/m³: 6619
# Total magnetization, μB/cell: 0.00
# Uncorrected formation energy, eV per formula unit: -2.691
data_LaAs2Se
_symmetry_space_group_name_H-M 'I -4 m 2'
_symmetry_Int_Tables_number 119
_symmetry_space_group_name_Hall 'I -4 -2'
_cell_length_a 4.280
_cell_length_b 4.280
_cell_length_c 10.072
_cell_angle_alpha 90.00
_cell_angle_beta 90.00
_cell_angle_gamma 90.00
loop_
_atom_site_label
_atom_site_fract_x
_atom_site_fract_y
_atom_site_fract_z
_atom_site_occupancy
La1 0.000 0.000 0.000 1
As1 0.000 0.000 0.500 1
As2 0.000 0.500 0.250 1
Se1 0.000 0.500 0.750 1

=====

Record 8
# FeAg2Te, relaxed, DFT GGA-PBE
# Mass density, kg/m³: 8794
# Total magnetization, μB/cell: 5.82
# Uncorrected formation energy, eV per formula unit: 1.497
data_FeAg2Te
_symmetry_space_group_name_H-M 'I 4/m m m'
_symmetry_Int_Tables_number 139
_symmetry_space_group_name_Hall '-I 4 2'
_cell_length_a 3.976
_cell_length_b 3.976
_cell_length_c 9.537
_cell_angle_alpha 90.00
_cell_angle_beta 90.00
_cell_angle_gamma 90.00
loop_
_atom_site_label
_atom_site_fract_x
_atom_site_fract_y
_atom_site_fract_z
_atom_site_occupancy
Fe1 0.000 0.000 0.000 1
Ag1 0.000 0.500 0.250 1
Te1 0.000 0.000 0.500 1

=====

Across the entries above, raw total energy takes the values -14.3; -167.3; -52.3; -26.2; -43.8; -53.1; -40.8; -31.6 eV for the cell shown, respectively.